A relaxed structure of Cs3Sn2As4, computed with PBE-GGA.

The structure in POSCAR format:
```
Cs3Sn2As4
1.0
9.177 -2.503 0.000
9.177 2.503 0.000
-3.421 0.000 7.452
Cs Sn As
3 2 4
Direct
0.000 0.000 0.000
0.143 0.143 0.739
0.857 0.857 0.261
0.332 0.332 0.603
0.668 0.668 0.397
0.205 0.205 0.279
0.488 0.488 0.638
0.512 0.512 0.362
0.795 0.795 0.721
```

Values from the calculation:
SG = C2/m, No. 12
Calculated formation energy = -0.320 eV/atom
Density = 4.54 g cm⁻³

A relaxed structure of CsSn3As3, computed with PBE-GGA.

The structure in POSCAR format:
```
CsSn3As3
1.0
3.422 1.976 11.639
-3.422 1.976 11.639
0.000 -3.951 11.639
Cs Sn As
2 6 6
Direct
0.167 0.167 0.167
0.833 0.833 0.833
0.039 0.711 0.375
0.289 0.625 0.961
0.375 0.039 0.711
0.625 0.961 0.289
0.711 0.375 0.039
0.961 0.289 0.625
0.089 0.418 0.745
0.255 0.911 0.582
0.418 0.745 0.089
0.582 0.255 0.911
0.745 0.089 0.418
0.911 0.582 0.255
```

Values from the calculation:
Offset from the most stable computed form = 0.310 eV per formula unit
SG = R-3, No. 148
Calculated formation energy = -0.115 eV/atom
Density = 5.02 g cm⁻³

A relaxed structure of CsSn3As3, computed with PBE-GGA.

The structure in POSCAR format:
```
CsSn3As3
1.0
4.272 2.466 8.290
-4.272 2.466 8.290
0.000 -4.932 8.290
Cs Sn As
2 6 6
Direct
0.167 0.167 0.167
0.833 0.833 0.833
0.050 0.707 0.375
0.293 0.625 0.950
0.375 0.050 0.707
0.625 0.950 0.293
0.707 0.375 0.050
0.950 0.293 0.625
0.064 0.400 0.733
0.267 0.936 0.600
0.400 0.733 0.064
0.600 0.267 0.936
0.733 0.064 0.400
0.936 0.600 0.267
```

Values from the calculation:
Offset from the most stable computed form = 0.000 eV per formula unit
SG = R-3, No. 148
Calculated formation energy = -0.159 eV/atom
Density = 4.52 g cm⁻³

A relaxed structure of CsSnAs3, computed with PBE-GGA.

The structure in POSCAR format:
```
CsSnAs3
1.0
5.466 0.000 0.000
0.000 5.466 0.000
0.000 0.000 5.466
Cs Sn As
1 1 3
Direct
0.000 0.000 0.000
0.500 0.500 0.500
0.000 0.500 0.500
0.500 0.000 0.500
0.500 0.500 0.000
```

Values from the calculation:
Offset from the most stable computed form = 0.000 eV per formula unit
SG = Pm-3m, No. 221
Calculated formation energy = 0.389 eV/atom
Density = 4.84 g cm⁻³

A relaxed structure of Cs2Sn2As, computed with PBE-GGA.

The structure in POSCAR format:
```
Cs2Sn2As
1.0
4.392 -6.503 0.000
4.392 6.503 0.000
-3.990 0.000 8.356
Cs Sn As
4 4 2
Direct
0.064 0.399 0.270
0.399 0.064 0.270
0.601 0.936 0.730
0.936 0.601 0.730
0.222 0.222 0.915
0.370 0.370 0.698
0.630 0.630 0.302
0.778 0.778 0.085
0.367 0.633 0.000
0.633 0.367 0.000
```

Values from the calculation:
Offset from the most stable computed form = 0.000 eV per formula unit
SG = C2/m, No. 12
Calculated formation energy = -0.167 eV/atom
Density = 4.02 g cm⁻³

A relaxed structure of CsSnAs3, computed with PBE-GGA.

The structure in POSCAR format:
```
CsSnAs3
1.0
5.665 0.000 0.000
0.000 5.665 0.000
0.000 0.000 5.665
Cs Sn As
1 1 3
Direct
0.000 0.000 0.000
0.500 0.500 0.500
0.000 0.000 0.500
0.000 0.500 0.000
0.500 0.000 0.000
```

Values from the calculation:
Offset from the most stable computed form = 5.867 eV per formula unit
SG = Pm-3m, No. 221
Calculated formation energy = 1.563 eV/atom
Density = 4.35 g cm⁻³

> The highest density belongs to which entry?

number 2